Compound: Gd
Source: the Open Quantum Materials Database
Functional: GGA-PBE
Structure: optimized geometry

The calculation puts the total magnetization at 0.00 μB per cell. The value obtained for the distance to the lowest polymorph of the same formula is 1854 meV/atom. As for the calculated formation energy: 1.854 eV/atom. The crystal system is cubic. Its space group is No. 227.

```
Gd
1.0
0.0000 3.4770 -3.4770
3.4770 0.0000 3.4770
0.0000 -3.4770 -3.4770
Gd
2
Direct
0.0000 0.0000 0.0000
0.2500 0.5000 0.7500
```